# 1
ScOs2Br | PBE-GGA | optimized geometry Values from VASP.

E_form (uncorrected) in eV per atom: 0.230
Excess energy over the best structure of this formula in the dataset in meV/atom: 271
Energy in eV for the cell shown: -29.54

```
&SYSTEM
  ibrav = 0, nat = 4, ntyp = 3
/
ATOMIC_SPECIES
Sc 44.96 Sc.upf
Os 190.23 Os.upf
Br 79.90 Br.upf
ATOMIC_POSITIONS angstrom
Sc 0.000 0.000 0.000
Os 2.671 0.000 3.434
Os 7.511 0.000 0.961
Br 5.091 0.000 2.197
CELL_PARAMETERS angstrom
5.301 -1.491 0.000
5.301 1.491 0.000
-0.421 0.000 4.395
```

---

# 2
LiZn2Te | PBE-GGA | optimized geometry Values from VASP.

E_form (uncorrected) in eV per atom: -0.169
Energy in eV for the cell shown: -8.28

```
&SYSTEM
  ibrav = 0, nat = 4, ntyp = 3
/
ATOMIC_SPECIES
Li 6.94 Li.upf
Zn 65.41 Zn.upf
Te 127.60 Te.upf
ATOMIC_POSITIONS angstrom
Li 0.000 0.000 0.000
Zn 1.959 1.959 1.278
Zn 1.959 1.959 3.964
Te 0.000 0.000 2.621
CELL_PARAMETERS angstrom
3.919 0.000 0.000
0.000 3.919 0.000
0.000 0.000 5.242
```

---

# 3
Pa3BN2O6 | PBE-GGA | optimized geometry Values from VASP.

E_form (uncorrected) in eV per atom: -2.757
Energy in eV for the cell shown: -114.65

```
&SYSTEM
  ibrav = 0, nat = 12, ntyp = 4
/
ATOMIC_SPECIES
Pa 231.04 Pa.upf
B 10.81 B.upf
N 14.01 N.upf
O 16.00 O.upf
ATOMIC_POSITIONS angstrom
Pa 0.000 0.000 0.000
Pa 2.023 2.683 1.836
Pa 2.023 -2.683 1.836
B 4.047 0.000 1.836
N 4.047 3.939 1.836
N 4.047 -3.939 1.836
O 1.949 1.400 0.000
O 1.949 -1.400 0.000
O 4.047 1.257 1.836
O 4.047 -1.257 1.836
O 6.145 1.400 0.000
O 6.145 -1.400 0.000
CELL_PARAMETERS angstrom
4.047 -5.366 0.000
4.047 5.366 0.000
0.000 0.000 3.672
```

---

# 4
CsTlBr3 | PBE-GGA | optimized geometry Values from VASP.

E_form (uncorrected) in eV per atom: -0.991
Energy in eV for the cell shown: -26.39

```
&SYSTEM
  ibrav = 0, nat = 10, ntyp = 3
/
ATOMIC_SPECIES
Cs 132.91 Cs.upf
Tl 204.38 Tl.upf
Br 79.90 Br.upf
ATOMIC_POSITIONS angstrom
Cs 0.000 0.000 2.387
Cs 0.000 0.000 24.623
Tl 0.000 0.000 13.505
Tl 0.000 3.047 6.753
Br 3.047 0.000 0.359
Br 3.047 1.547 -3.927
Br 3.047 0.000 13.146
Br 0.000 1.500 9.578
Br 1.547 3.047 3.927
Br 1.500 0.000 17.432
CELL_PARAMETERS angstrom
-3.047 3.047 13.505
3.047 -3.047 13.505
3.047 3.047 -13.505
```

---

# 5
K3VSi | PBE-GGA | optimized geometry Values from VASP.

E_form (uncorrected) in eV per atom: 1.131
Excess energy over the best structure of this formula in the dataset in meV/atom: 0
Energy in eV for the cell shown: -12.18

```
&SYSTEM
  ibrav = 0, nat = 5, ntyp = 3
/
ATOMIC_SPECIES
K 39.10 K.upf
V 50.94 V.upf
Si 28.09 Si.upf
ATOMIC_POSITIONS angstrom
K 0.000 0.000 3.224
K 0.000 3.224 0.000
K 3.224 0.000 0.000
V 3.224 3.224 3.224
Si 0.000 0.000 0.000
CELL_PARAMETERS angstrom
6.449 0.000 0.000
0.000 6.449 0.000
0.000 0.000 6.449
```

---

# 6
CsCr3Se | PBE-GGA | optimized geometry Values from VASP.

E_form (uncorrected) in eV per atom: 3.034
Excess energy over the best structure of this formula in the dataset in meV/atom: 2062
Energy in eV for the cell shown: -18.04

```
&SYSTEM
  ibrav = 0, nat = 5, ntyp = 3
/
ATOMIC_SPECIES
Cs 132.91 Cs.upf
Cr 52.00 Cr.upf
Se 78.96 Se.upf
ATOMIC_POSITIONS angstrom
Cs 0.000 0.000 0.000
Cr 0.000 0.000 2.362
Cr 0.000 2.362 0.000
Cr 2.362 0.000 0.000
Se 2.362 2.362 2.362
CELL_PARAMETERS angstrom
4.723 0.000 0.000
0.000 4.723 0.000
0.000 0.000 4.723
```

---

# 7
UCd2SbO8 | PBE-GGA | optimized geometry Values from VASP.

E_form (uncorrected) in eV per atom: -1.680
Energy in eV for the cell shown: -77.07

```
&SYSTEM
  ibrav = 0, nat = 12, ntyp = 4
/
ATOMIC_SPECIES
U 238.03 U.upf
Cd 112.41 Cd.upf
Sb 121.76 Sb.upf
O 16.00 O.upf
ATOMIC_POSITIONS angstrom
U 0.000 0.000 0.000
Cd 2.426 1.749 2.518
Cd 2.426 5.010 2.518
Sb 0.000 3.380 0.000
O 0.747 1.776 4.130
O 0.747 4.984 4.130
O 1.357 3.380 1.399
O 1.364 0.000 1.406
O 3.489 0.000 3.630
O 3.496 3.380 3.637
O 4.106 1.776 0.906
O 4.106 4.984 0.906
CELL_PARAMETERS angstrom
5.038 0.000 0.000
0.000 6.759 0.000
-0.186 0.000 5.036
```

---

# 8
Ta6TiW | PBE-GGA | optimized geometry Values from VASP.

Excess energy over the best structure of this formula in the dataset in meV/atom: 0
Formation energy from the elements in meV/atom: -3
Energy in eV for the cell shown: -367.95

```
&SYSTEM
  ibrav = 0, nat = 32, ntyp = 3
/
ATOMIC_SPECIES
Ta 180.95 Ta.upf
Ti 47.87 Ti.upf
W 183.84 W.upf
ATOMIC_POSITIONS angstrom
Ta 0.000 0.000 0.000
Ta 0.000 0.000 6.567
Ta 1.667 1.669 4.949
Ta 1.667 1.669 8.185
Ta 1.676 1.613 1.669
Ta 1.676 1.613 11.465
Ta 3.291 3.331 3.262
Ta 3.291 3.331 9.872
Ta 1.676 -1.613 1.669
Ta 1.676 -1.613 11.465
Ta 1.667 -1.669 4.949
Ta 1.667 -1.669 8.185
Ta 3.291 0.000 0.000
Ta 3.291 0.000 6.567
Ta 4.915 1.669 4.949
Ta 4.915 1.669 8.185
Ta 4.905 1.613 1.669
Ta 4.905 1.613 11.465
Ta 3.291 -3.331 3.262
Ta 3.291 -3.331 9.872
Ta 4.905 -1.613 1.669
Ta 4.905 -1.613 11.465
Ta 4.915 -1.669 4.949
Ta 4.915 -1.669 8.185
Ti 0.000 0.000 3.340
Ti 0.000 0.000 9.794
Ti 3.291 3.311 0.000
Ti 3.291 -3.311 0.000
W 3.291 3.287 6.567
W 3.291 0.000 3.303
W 3.291 0.000 9.831
W 3.291 -3.287 6.567
CELL_PARAMETERS angstrom
3.291 -6.580 0.000
3.291 6.580 0.000
0.000 0.000 13.134
```

---

# 9
BiMoSe2 | PBE-GGA | optimized geometry Values from VASP.

E_form (uncorrected) in eV per atom: 0.255
Energy in eV for the cell shown: -41.32

```
&SYSTEM
  ibrav = 0, nat = 8, ntyp = 3
/
ATOMIC_SPECIES
Bi 208.98 Bi.upf
Mo 95.94 Mo.upf
Se 78.96 Se.upf
ATOMIC_POSITIONS angstrom
Bi 0.000 0.000 0.000
Bi 0.000 3.300 2.677
Mo 3.300 0.000 2.677
Mo 0.000 0.000 5.353
Se 1.650 -1.169 4.015
Se 2.130 1.650 1.338
Se 1.650 4.469 -1.338
Se 1.169 1.650 6.692
CELL_PARAMETERS angstrom
-3.300 3.300 5.353
3.300 -3.300 5.353
3.300 3.300 -5.353
```

---

# 10
Dy12Er2Tl | PBE-GGA | optimized geometry Values from VASP.

Formation energy from the elements in meV/atom: 71
Energy in eV for the cell shown: -131.32

```
&SYSTEM
  ibrav = 0, nat = 30, ntyp = 3
/
ATOMIC_SPECIES
Dy 162.50 Dy.upf
Er 167.26 Er.upf
Tl 204.38 Tl.upf
ATOMIC_POSITIONS angstrom
Dy -0.991 0.000 9.042
Dy 0.954 2.713 10.194
Dy -2.307 0.000 21.790
Dy -0.553 2.850 22.242
Dy 2.674 2.762 4.104
Dy 1.202 2.977 16.395
Dy 2.699 2.977 7.182
Dy 1.228 2.762 19.474
Dy 4.454 2.850 1.336
Dy 2.703 0.000 1.870
Dy 2.947 2.713 13.384
Dy 1.267 0.000 15.008
Dy 2.634 0.000 8.570
Dy 0.954 -2.713 10.194
Dy 1.199 0.000 21.708
Dy -0.553 -2.850 22.242
Dy 2.674 -2.762 4.104
Dy 1.202 -2.977 16.395
Dy 2.699 -2.977 7.182
Dy 1.228 -2.762 19.474
Dy 4.454 -2.850 1.336
Dy 6.208 0.000 1.788
Dy 2.947 -2.713 13.384
Dy 4.892 0.000 14.535
Er 0.881 0.000 5.438
Er -0.557 0.000 18.104
Er 4.459 0.000 5.474
Er 3.021 0.000 18.140
Tl 0.278 0.000 11.946
Tl 3.623 0.000 11.632
CELL_PARAMETERS angstrom
3.564 -5.602 0.000
3.564 5.602 0.000
-3.225 0.000 23.578
```

---

# 11
NaFeTc2 | PBE-GGA | optimized geometry Values from VASP.

Excess energy over the best structure of this formula in the dataset in meV/atom: 24
Formation energy from the elements in meV/atom: 1027
Energy in eV for the cell shown: -26.40

```
&SYSTEM
  ibrav = 0, nat = 4, ntyp = 3
/
ATOMIC_SPECIES
Na 22.99 Na.upf
Fe 55.84 Fe.upf
Tc 98.00 Tc.upf
ATOMIC_POSITIONS angstrom
Na 0.000 0.000 0.000
Fe 3.027 3.027 3.027
Tc 1.514 1.514 1.514
Tc 4.541 4.541 4.541
CELL_PARAMETERS angstrom
0.000 3.027 3.027
3.027 0.000 3.027
3.027 3.027 0.000
```

---

# 12
LiRuS2 | PBE-GGA | optimized geometry Values from VASP.

E_form (uncorrected) in eV per atom: -0.066
Energy in eV for the cell shown: -19.71

```
&SYSTEM
  ibrav = 0, nat = 4, ntyp = 3
/
ATOMIC_SPECIES
Li 6.94 Li.upf
Ru 101.07 Ru.upf
S 32.06 S.upf
ATOMIC_POSITIONS angstrom
Li 0.000 0.000 0.000
Ru 0.000 0.000 12.084
S 0.000 0.000 9.855
S 0.000 0.000 14.313
CELL_PARAMETERS angstrom
1.459 0.843 8.056
-1.459 0.843 8.056
0.000 -1.685 8.056
```

---

# 13
Cs3ICl2 | PBE-GGA | optimized geometry Values from VASP.

E_form (uncorrected) in eV per atom: -1.805
Energy in eV for the cell shown: -74.54

```
&SYSTEM
  ibrav = 0, nat = 24, ntyp = 3
/
ATOMIC_SPECIES
Cs 132.91 Cs.upf
I 126.90 I.upf
Cl 35.45 Cl.upf
ATOMIC_POSITIONS angstrom
Cs 1.841 1.419 1.531
Cs 1.845 1.453 6.323
Cs 1.846 6.317 1.114
Cs 1.841 6.351 6.740
Cs 1.844 11.551 6.588
Cs 1.845 11.757 1.379
Cs 5.531 3.782 9.039
Cs 5.532 3.988 3.830
Cs 5.536 9.189 3.678
Cs 5.530 9.222 9.304
Cs 5.531 14.086 4.095
Cs 5.535 14.120 8.887
I 1.846 8.910 3.902
I 1.846 14.399 9.111
I 5.530 1.141 1.307
I 5.530 6.629 6.516
Cl 1.842 3.782 9.112
Cl 1.843 3.988 3.903
Cl 1.844 9.112 9.225
Cl 1.844 14.197 4.016
Cl 5.532 1.343 6.402
Cl 5.533 6.427 1.193
Cl 5.534 11.552 6.515
Cl 5.534 11.757 1.306
CELL_PARAMETERS angstrom
7.377 0.000 0.000
0.000 15.539 0.000
-0.001 0.000 10.418
```

---

# 14
ZnGeAsIrAu | PBE-GGA | optimized geometry Values from VASP.

Excess energy over the best structure of this formula in the dataset in meV/atom: 84
Formation energy from the elements in meV/atom: -32
Energy in eV for the cell shown: -22.84

```
&SYSTEM
  ibrav = 0, nat = 5, ntyp = 5
/
ATOMIC_SPECIES
Zn 65.41 Zn.upf
Ge 72.64 Ge.upf
As 74.92 As.upf
Ir 192.22 Ir.upf
Au 196.97 Au.upf
ATOMIC_POSITIONS angstrom
Zn 0.000 0.000 0.000
Ge -0.017 0.000 2.504
As 1.975 0.000 5.700
Ir 4.659 0.000 1.449
Au 4.239 0.000 4.177
CELL_PARAMETERS angstrom
3.474 -1.985 0.000
3.474 1.985 0.000
-2.649 0.000 6.836
```

---

# 15
Zn3SnSe | PBE-GGA | optimized geometry Values from VASP.

E_form (uncorrected) in eV per atom: 0.395
Excess energy over the best structure of this formula in the dataset in meV/atom: 0
Energy in eV for the cell shown: -9.34

```
&SYSTEM
  ibrav = 0, nat = 5, ntyp = 3
/
ATOMIC_SPECIES
Zn 65.41 Zn.upf
Sn 118.71 Sn.upf
Se 78.96 Se.upf
ATOMIC_POSITIONS angstrom
Zn 0.000 0.000 2.482
Zn 0.000 2.482 0.000
Zn 2.482 0.000 0.000
Sn 2.482 2.482 2.482
Se 0.000 0.000 0.000
CELL_PARAMETERS angstrom
4.963 0.000 0.000
0.000 4.963 0.000
0.000 0.000 4.963
```

---

# 16
NaIn3Ge | PBE-GGA | optimized geometry Values from VASP.

Excess energy over the best structure of this formula in the dataset in meV/atom: 0
Formation energy from the elements in meV/atom: -10
Energy in eV for the cell shown: -56.80

```
&SYSTEM
  ibrav = 0, nat = 20, ntyp = 3
/
ATOMIC_SPECIES
Na 22.99 Na.upf
In 114.82 In.upf
Ge 72.64 Ge.upf
ATOMIC_POSITIONS angstrom
Na 6.016 4.532 5.048
Na 7.669 1.256 1.683
Na 6.016 -1.256 5.048
Na 7.669 -4.532 1.683
In 4.853 3.178 2.001
In 2.886 3.180 5.999
In 10.484 3.178 1.364
In 9.147 3.180 4.097
In 4.456 0.000 2.204
In 2.804 0.000 5.570
In 10.881 0.000 1.161
In 9.229 0.000 4.526
In 4.538 -3.180 2.634
In 3.201 -3.178 5.367
In 10.799 -3.180 0.731
In 8.832 -3.178 4.729
Ge 4.848 1.698 4.483
Ge 7.185 1.698 5.612
Ge 6.500 -1.698 1.118
Ge 8.837 -1.698 2.247
CELL_PARAMETERS angstrom
8.495 -4.772 0.000
8.495 4.772 0.000
-3.305 0.000 6.731
```

---

# 17
TiPb2C | PBE-GGA | optimized geometry Values from VASP.

Formation energy from the elements in meV/atom: 1142
Energy in eV for the cell shown: -39.93

```
&SYSTEM
  ibrav = 0, nat = 8, ntyp = 3
/
ATOMIC_SPECIES
Ti 47.87 Ti.upf
Pb 207.20 Pb.upf
C 12.01 C.upf
ATOMIC_POSITIONS angstrom
Ti 0.000 0.000 0.000
Ti 0.000 3.539 1.651
Pb 1.770 2.205 -0.826
Pb 4.874 1.770 0.826
Pb 1.770 1.334 2.477
Pb -1.334 1.770 4.128
C 3.539 0.000 1.651
C 0.000 0.000 3.302
CELL_PARAMETERS angstrom
-3.539 3.539 3.302
3.539 -3.539 3.302
3.539 3.539 -3.302
```

---

# 18
SrCdB2O5 | PBE-GGA | optimized geometry Values from VASP.

E_form (uncorrected) in eV per atom: -2.349
Energy in eV for the cell shown: -495.04

```
&SYSTEM
  ibrav = 0, nat = 72, ntyp = 4
/
ATOMIC_SPECIES
Sr 87.62 Sr.upf
Cd 112.41 Cd.upf
B 10.81 B.upf
O 16.00 O.upf
ATOMIC_POSITIONS angstrom
Sr 0.772 1.066 1.486
Sr 0.772 5.311 7.590
Sr 2.177 7.443 1.486
Sr 2.177 11.687 7.590
Sr 3.722 1.066 4.618
Sr 3.722 5.311 10.722
Sr 5.126 7.443 4.618
Sr 5.126 11.687 10.722
Cd 0.750 3.021 10.604
Cd 0.750 3.355 4.500
Cd 2.199 9.398 10.604
Cd 2.199 9.732 4.500
Cd 3.699 3.021 7.708
Cd 3.699 3.355 1.604
Cd 5.148 9.398 7.708
Cd 5.148 9.732 1.604
B 0.702 2.280 7.477
B 0.702 4.096 1.373
B 0.732 6.552 10.728
B 0.732 12.579 4.624
B 2.217 0.175 10.728
B 2.217 6.202 4.624
B 2.247 8.657 7.477
B 2.247 10.473 1.373
B 3.652 2.280 10.836
B 3.652 4.096 4.732
B 3.681 6.552 7.584
B 3.681 12.579 1.480
B 5.166 0.175 7.584
B 5.166 6.202 1.480
B 5.196 8.657 10.836
B 5.196 10.473 4.732
O 0.025 9.365 9.900
O 0.025 9.765 3.796
O 0.484 0.904 7.317
O 0.484 5.473 1.213
O 0.537 1.043 4.034
O 0.537 5.334 10.138
O 1.013 0.720 11.081
O 1.013 5.657 4.977
O 1.305 9.295 6.700
O 1.305 9.835 0.596
O 1.644 2.919 6.700
O 1.644 3.458 0.596
O 1.936 7.096 11.081
O 1.936 12.034 4.977
O 2.412 7.420 4.034
O 2.412 11.711 10.138
O 2.465 7.281 7.317
O 2.465 11.850 1.213
O 2.924 2.989 9.900
O 2.924 3.388 3.796
O 2.974 9.365 8.412
O 2.974 9.765 2.308
O 3.434 0.904 10.995
O 3.434 5.473 4.891
O 3.486 1.043 2.070
O 3.486 5.334 8.174
O 3.962 0.720 7.231
O 3.962 5.657 1.127
O 4.254 9.295 11.612
O 4.254 9.835 5.508
O 4.594 2.919 11.612
O 4.594 3.458 5.508
O 4.885 7.096 7.231
O 4.885 12.034 1.127
O 5.362 7.420 2.070
O 5.362 11.711 8.174
O 5.414 7.281 10.995
O 5.414 11.850 4.891
O 5.873 2.989 8.412
O 5.873 3.388 2.308
CELL_PARAMETERS angstrom
5.898 0.000 0.000
0.000 12.754 0.000
0.000 0.000 12.208
```